No. 1
# Ca2ScW PBE optimized geometry
data_Ca2ScW
_cell_length_a 3.197
_cell_length_b 5.869
_cell_length_c 11.490
_cell_angle_alpha 90.00
_cell_angle_beta 90.00
_cell_angle_gamma 90.00
_space_group_name_H-M_alt 'I m m 2'
_space_group_IT_number 44
loop_
_space_group_symop_operation_xyz
'x,y,z'
'-x,-y,z'
'-x,y,z'
'x,-y,z'
'x+1/2,y+1/2,z+1/2'
'-x+1/2,-y+1/2,z+1/2'
'-x+1/2,y+1/2,z+1/2'
'x+1/2,-y+1/2,z+1/2'
loop_
_atom_site_label
_atom_site_type_symbol
_atom_site_fract_x
_atom_site_fract_y
_atom_site_fract_z
_atom_site_occupancy
Ca1 Ca 0.000 0.000 0.000 1
Ca2 Ca 0.000 0.500 0.207 1
Sc1 Sc 0.000 0.500 0.789 1
W1 W 0.000 0.000 0.478 1
# Fermi-level density of states: 1.037 states/eV per atom
# Polymorph energy (0 for the lowest one): 0.179 eV/atom
# E: -5.149 eV/atom

---

No. 2
# CaSc3W PBE optimized geometry
data_CaSc3W
_cell_length_a 5.197
_cell_length_b 5.197
_cell_length_c 5.197
_cell_angle_alpha 90.00
_cell_angle_beta 90.00
_cell_angle_gamma 90.00
_space_group_name_H-M_alt 'P m -3 m'
_space_group_IT_number 221
_space_group_name_Hall '-P 4 2 3'
loop_
_atom_site_label
_atom_site_type_symbol
_atom_site_fract_x
_atom_site_fract_y
_atom_site_fract_z
_atom_site_occupancy
Ca1 Ca 0.000 0.000 0.000 1
Sc1 Sc 0.000 0.500 0.500 1
W1 W 0.500 0.500 0.500 1
# Fermi-level density of states: 1.099 states/eV per atom
# Polymorph energy (0 for the lowest one): 0.000 eV/atom
# E: -6.384 eV/atom

---

No. 3
# CaScW PBE optimized geometry
data_CaScW
_cell_length_a 6.908
_cell_length_b 6.908
_cell_length_c 6.908
_cell_angle_alpha 90.00
_cell_angle_beta 90.00
_cell_angle_gamma 90.00
_space_group_name_H-M_alt 'F -4 3 m'
_space_group_IT_number 216
_space_group_name_Hall 'F -4 2 3'
loop_
_atom_site_label
_atom_site_type_symbol
_atom_site_fract_x
_atom_site_fract_y
_atom_site_fract_z
_atom_site_occupancy
Ca1 Ca 0.000 0.000 0.000 1
Sc1 Sc 0.000 0.000 0.500 1
W1 W 0.250 0.250 0.750 1
# Fermi-level density of states: 1.458 states/eV per atom
# Polymorph energy (0 for the lowest one): 0.754 eV/atom
# E: -5.782 eV/atom

---

No. 4
# CaScW2 PBE optimized geometry
data_CaScW2
_cell_length_a 3.968
_cell_length_b 3.968
_cell_length_c 9.882
_cell_angle_alpha 90.00
_cell_angle_beta 90.00
_cell_angle_gamma 90.00
_space_group_name_H-M_alt 'I 4/m m m'
_space_group_IT_number 139
_space_group_name_Hall '-I 4 2'
loop_
_atom_site_label
_atom_site_type_symbol
_atom_site_fract_x
_atom_site_fract_y
_atom_site_fract_z
_atom_site_occupancy
Ca1 Ca 0.000 0.000 0.000 1
Sc1 Sc 0.000 0.000 0.500 1
W1 W 0.000 0.500 0.250 1
# Fermi-level density of states: 1.029 states/eV per atom
# Polymorph energy (0 for the lowest one): 0.390 eV/atom
# E: -7.830 eV/atom